1.
A relaxed NaLa2ZnCo crystal. Source: the Alexandria database, functional PBE-GGA.

Computed properties:
Calculated total energy = -3.9788 eV per atom
Formation enthalpy at 0 K = -0.068 eV per atom
Crystal system = tetragonal

a b c (Å): 5.3025 5.3025 4.9074
angles (deg): 90.00 90.00 90.00
Element x y z (fractional)
Na 0.5000 0.5000 0.5000
Zn 0.0000 0.0000 0.5000
Co 0.0000 0.0000 0.0000
La 0.0000 0.5000 0.0000
La 0.5000 0.0000 0.0000

---

2.
A relaxed Ta3InAg crystal. Source: the Alexandria database, functional PBE-GGA.

Computed properties:
Calculated total energy = -6.4774 eV per atom
Offset from the most stable computed form = 0 meV/atom
Formation enthalpy at 0 K = 1.752 eV per atom
Crystal system = cubic

a b c (Å): 4.9058 4.9058 4.9058
angles (deg): 90.00 90.00 90.00
Element x y z (fractional)
In 0.5000 0.5000 0.5000
Ag 0.0000 0.0000 0.0000
Ta 0.0000 0.5000 0.0000
Ta 0.0000 0.0000 0.5000
Ta 0.5000 0.0000 0.0000

---

3.
A relaxed LiLaFe2 crystal. Source: the Alexandria database, functional PBE-GGA.

Computed properties:
Calculated total energy = -5.4724 eV per atom
Offset from the most stable computed form = 257 meV/atom
Formation enthalpy at 0 K = 0.469 eV per atom
Crystal system = tetragonal

a b c (Å): 5.1409 5.1409 5.1409
angles (deg): 134.30 134.30 66.62
Last column: magnetic moment on the atom in μB.
Element x y z (fractional)
Fe 0.0000 0.0000 0.0000  2.30
Fe 0.5000 0.5000 0.0000  2.30
La 0.2500 0.7500 0.5000  -0.26
Li 0.7500 0.2500 0.5000  -0.06